The following is a PBE-GGA calculation of a relaxed TlInHgGe crystal, from Alexandria.

The space group is F-43m (No. 216) and the conventional cell measures 7.447, 7.447 and 7.447 Å, with angles of 90.00, 90.00 and 90.00 degrees. The asymmetric unit holds Tl at (0.000, 0.000, 0.000), In at (0.000, 0.000, 0.500), Hg at (0.250, 0.250, 0.250) and Ge at (0.250, 0.250, 0.750).

The value obtained for the volume is 25.8 A^3/atom. The raw total energy is -2.38 eV per atom. For the density of states at the Fermi level, the calculation gives 1.1 states/eV/f.u. The formation energy is 0.130 eV per atom.

***

The following is a PBE-GGA calculation of a relaxed Hg2GeIr2 crystal, from Alexandria.

The space group is I4/mmm (No. 139) and the conventional cell measures 4.023, 4.023 and 12.691 Å, with angles of 90.00, 90.00 and 90.00 degrees. The asymmetric unit holds Hg at (0.000, 0.500, 0.250), Ge at (0.000, 0.000, 0.000) and Ir at (0.000, 0.000, 0.405).

The value obtained for the volume is 20.5 A^3/atom. The raw total energy is -3.82 eV per atom. For the density of states at the Fermi level, the calculation gives 3.9 states/eV/f.u. The formation energy is 0.765 eV per atom. As for the energy relative to the lowest polymorph listed for this composition: 569 meV/atom.

***

The following is a PBE-GGA calculation of a relaxed HgGeIr2 crystal, from Alexandria.

The space group is Fm-3m (No. 225) and the conventional cell measures 6.386, 6.386 and 6.386 Å, with angles of 90.00, 90.00 and 90.00 degrees. The asymmetric unit holds Hg at (0.000, 0.000, 0.000), Ge at (0.000, 0.000, 0.500) and Ir at (0.250, 0.250, 0.250).

The value obtained for the volume is 16.3 A^3/atom. The raw total energy is -5.29 eV per atom. For the density of states at the Fermi level, the calculation gives 1.5 states/eV/f.u. The formation energy is 0.370 eV per atom. As for the energy relative to the lowest polymorph listed for this composition: 0 meV/atom.

***

The following is a PBE-GGA calculation of a relaxed HgGe2Ir crystal, from Alexandria.

The space group is I-42d (No. 122) and the conventional cell measures 6.133, 6.133 and 10.851 Å, with angles of 90.00, 90.00 and 90.00 degrees. The asymmetric unit holds Hg at (0.000, 0.000, 0.000), Ge at (0.194, 0.250, 0.625) and Ir at (0.000, 0.000, 0.500).

The value obtained for the volume is 25.5 A^3/atom. The raw total energy is -4.36 eV per atom. For the density of states at the Fermi level, the calculation gives 2.1 states/eV/f.u. The formation energy is 0.243 eV per atom.

***

The following is a PBE-GGA calculation of a relaxed Hg2GeIr crystal, from Alexandria.

The space group is I4_1/amd (No. 141, origin choice 2) and the conventional cell measures 10.515, 10.515 and 4.670 Å, with angles of 90.00, 90.00 and 90.00 degrees. The asymmetric unit holds Hg at (0.000, 0.000, 0.000), Ge at (0.000, 0.250, 0.375) and Ir at (0.000, 0.250, 0.875).

The value obtained for the volume is 32.3 A^3/atom. The raw total energy is -3.40 eV per atom. For the density of states at the Fermi level, the calculation gives 1.6 states/eV/f.u. The formation energy is 0.118 eV per atom.

***

The following is a PBE-GGA calculation of a relaxed Hg2GeIr2 crystal, from Alexandria.

The space group is P4/mbm (No. 127) and the conventional cell measures 6.386, 6.386 and 4.558 Å, with angles of 90.00, 90.00 and 90.00 degrees. The asymmetric unit holds Hg at (0.164, 0.336, 0.000), Ge at (0.000, 0.000, 0.500) and Ir at (0.148, 0.648, 0.500).

The value obtained for the volume is 18.6 A^3/atom. The raw total energy is -4.39 eV per atom. For the density of states at the Fermi level, the calculation gives 3.7 states/eV/f.u. The formation energy is 0.196 eV per atom. As for the energy relative to the lowest polymorph listed for this composition: 0 meV/atom.

***

Q: Among the records above, which one has the highest density of states at the Fermi level?
A: number 2

***

Q: Among the records above, which one has the lowest volume?
A: HgGeIr2